(1)
# PmEr7Tm4

A geometry-optimized PmEr7Tm4 structure (PBE, the Alexandria database).

## Properties
E (eV/atom): -4.550
Energy of formation (eV/f.u.): 0.0
ΔE to the lowest computed polymorph (meV per atom): 0
Density (g/cm³): 8.99

Lattice parameters (Å, degrees): 6.1322 7.0815 8.7138 89.96 76.34 89.91
Element x y z (fractional)
Pm: 0.0000 0.0000 0.0000
Er: 0.0000 0.5000 0.0000
Er: 0.2223 0.0003 0.3349
Er: 0.2790 0.7486 0.6644
Er: 0.4999 0.2510 0.9999
Er: 0.5001 0.7490 0.0001
Er: 0.7210 0.2514 0.3356
Er: 0.7777 0.9997 0.6651
Tm: 0.2212 0.5001 0.3352
Tm: 0.2787 0.2511 0.6647
Tm: 0.7213 0.7489 0.3353
Tm: 0.7788 0.4999 0.6648



(2)
# CePuAsS

A geometry-optimized CePuAsS structure (PBE, the Alexandria database).

## Properties
E (eV/atom): -8.838
Energy relative to the elements, uncorrected (meV per atom): -1577
Density (g/cm³): 8.40

Lattice parameters (Å, degrees): 4.1165 4.1165 19.8403 90.00 90.00 120.00
Element x y z (fractional)
Ce: 0.0000 0.0000 0.0000
Ce: 0.3333 0.6667 0.6667
Ce: 0.6667 0.3333 0.3333
Pu: 0.0000 0.0000 0.5060
Pu: 0.3333 0.6667 0.1726
Pu: 0.6667 0.3333 0.8393
As: 0.0000 0.0000 0.7543
As: 0.3333 0.6667 0.4210
As: 0.6667 0.3333 0.0877
S: 0.0000 0.0000 0.2497
S: 0.3333 0.6667 0.9164
S: 0.6667 0.3333 0.5831



(3)
# La5Cd2Hg

A geometry-optimized La5Cd2Hg structure (PBE, the Alexandria database).

## Properties
E (eV/atom): -3.588
Energy of formation (eV/f.u.): -1.9
Density (g/cm³): 7.44

Lattice parameters (Å, degrees): 7.9148 7.9148 7.9854 90.00 90.00 90.00
Element x y z (fractional)
La: 0.0000 0.0000 0.0000
La: 0.2502 0.2502 0.2494
La: 0.2498 0.2498 0.7494
La: 0.2502 0.7498 0.2494
La: 0.2498 0.7502 0.7494
La: 0.5000 0.5000 0.5000
La: 0.7498 0.2502 0.2494
La: 0.7502 0.2498 0.7494
La: 0.7498 0.7498 0.2494
La: 0.7502 0.7502 0.7494
Cd: 0.0000 0.5000 0.4995
Cd: 0.0000 0.5000 0.9995
Cd: 0.5000 0.0000 0.4995
Cd: 0.5000 0.0000 0.9995
Hg: 0.0000 0.0000 0.4989
Hg: 0.5000 0.5000 0.9989



(4)
# CaTc

A geometry-optimized CaTc structure (PBE, the Alexandria database).

## Properties
E (eV/atom): -5.345
Energy of formation (eV/f.u.): 1.7
ΔE to the lowest computed polymorph (meV per atom): 626
Density (g/cm³): 3.68

Lattice parameters (Å, degrees): 11.1870 11.1870 3.4486 90.00 90.00 120.00
Element x y z (fractional)
Ca: 0.1060 0.3334 0.2500
Ca: 0.2274 0.8940 0.2500
Ca: 0.3334 0.2274 0.7500
Ca: 0.6666 0.7726 0.2500
Ca: 0.7726 0.1060 0.7500
Ca: 0.8940 0.6666 0.7500
Tc: 0.0706 0.5677 0.2500
Tc: 0.4323 0.5030 0.2500
Tc: 0.4970 0.9294 0.2500
Tc: 0.5030 0.0706 0.7500
Tc: 0.5677 0.4970 0.7500
Tc: 0.9294 0.4323 0.7500



(5)
# SrLa2Te

A geometry-optimized SrLa2Te structure (PBE, the Alexandria database).

## Properties
E (eV/atom): -4.249
Energy relative to the elements, uncorrected (meV per atom): -580
Density (g/cm³): 5.74

Lattice parameters (Å, degrees): 4.2438 5.0066 6.8949 90.00 103.20 90.00
Element x y z (fractional)
Sr: 0.0000 0.0000 0.0000
La: 0.3011 0.5000 0.6037
La: 0.6414 0.0000 0.4595
Te: 0.5534 0.5000 0.1489



(6)
# TaMnOs2

A geometry-optimized TaMnOs2 structure (PBE, the Alexandria database).

## Properties
E (eV/atom): -11.031
Energy of formation (eV/f.u.): -0.6
Density (g/cm³): 17.04

Lattice parameters (Å, degrees): 4.3206 4.3206 3.2177 90.00 90.00 90.00
Element x y z (fractional)
Ta: 0.0000 0.0000 0.0000
Mn: 0.5000 0.5000 0.0000
Os: 0.0000 0.5000 0.5000
Os: 0.5000 0.0000 0.5000